# PmB4Pb

A geometry-optimized PmB4Pb structure (PBE-GGA, the Open Quantum Materials Database).

Properties
Magnetic moment ... 0.002 μB/cell
Energy above the lowest structure with this stoichiometry ... 0.000 eV/atom

```
6
Lattice="-1.6283 2.7157 4.4028 1.6283 -2.7157 4.4028 1.6283 2.7157 -4.4028" Properties=species:S:1:pos:R:3 pbc="T T T"
Pm 0.0000 0.0000 0.0000
B 1.6283 -0.9371 2.1364
B 1.6283 0.9371 2.1364
B 0.0000 1.7786 2.2664
B 0.0000 3.6528 2.2664
Pb 0.0000 0.0000 4.4028
```

# AcIr

A geometry-optimized AcIr structure (PBE-GGA, the Open Quantum Materials Database).

Properties
Formation energy from the elements ... 59 meV/atom
Magnetic moment ... 0.000 μB/cell

```
2
Lattice="0.0000 3.2914 3.2914 3.2914 0.0000 3.2914 3.2914 3.2914 0.0000" Properties=species:S:1:pos:R:3 pbc="T T T"
Ac 0.0000 0.0000 0.0000
Ir 4.9371 4.9371 4.9371
```

# Cs2AgPtCl5

A geometry-optimized Cs2AgPtCl5 structure (PBE-GGA, the Open Quantum Materials Database).

Properties
Magnetic moment ... 0.002 μB/cell

```
9
Lattice="7.4641 0.0000 0.0000 0.0000 7.4641 0.0000 0.0000 0.0000 4.9637" Properties=species:S:1:pos:R:3 pbc="T T T"
Cs 0.0000 3.7321 0.0000
Cs 3.7321 0.0000 0.0000
Ag 0.0000 0.0000 2.4819
Pt 3.7321 3.7321 2.4819
Cl 0.0000 0.0000 0.0000
Cl 2.0846 2.0846 2.4819
Cl 2.0846 5.3795 2.4819
Cl 5.3795 2.0846 2.4819
Cl 5.3795 5.3795 2.4819
```

# ScBeNiB

A geometry-optimized ScBeNiB structure (PBE-GGA, the Open Quantum Materials Database).

Properties
Magnetic moment ... 0.001 μB/cell
Energy above the lowest structure with this stoichiometry ... 0.196 eV/atom

```
4
Lattice="0.0000 2.7866 2.7866 2.7866 0.0000 2.7866 2.7866 2.7866 0.0000" Properties=species:S:1:pos:R:3 pbc="T T T"
Sc 0.0000 0.0000 0.0000
Be 1.3933 1.3933 1.3933
Ni 4.1798 4.1798 4.1798
B 2.7866 2.7866 2.7866
```

# LaHoPBr2

A geometry-optimized LaHoPBr2 structure (PBE-GGA, the Open Quantum Materials Database).

Properties
Magnetic moment ... 0.000 μB/cell

```
5
Lattice="4.1123 0.0000 0.0000 -2.0561 3.5613 0.0000 0.0000 0.0000 10.6894" Properties=species:S:1:pos:R:3 pbc="T T T"
La 0.0000 0.0000 0.0000
Ho 0.0000 2.3742 7.5313
P 2.0561 1.1871 8.9776
Br 0.0000 0.0000 5.7621
Br 0.0000 2.3742 1.9508
```

# DyZrCS

A geometry-optimized DyZrCS structure (PBE-GGA, the Open Quantum Materials Database).

Properties
Magnetic moment ... 0.006 μB/cell
Energy above the lowest structure with this stoichiometry ... 0.000 eV/atom

```
8
Lattice="3.5373 0.0000 0.0000 -1.7686 3.0634 0.0000 0.0000 0.0000 12.6471" Properties=species:S:1:pos:R:3 pbc="T T T"
Dy 0.0000 2.0423 0.0000
Dy 1.7686 1.0211 6.3235
Zr 0.0000 2.0423 8.9264
Zr 1.7686 1.0211 2.6029
C 0.0000 0.0000 1.4315
C 0.0000 0.0000 7.7550
S 0.0000 2.0423 4.3731
S 1.7686 1.0211 10.6966
```

# MgNbSbTe

A geometry-optimized MgNbSbTe structure (PBE-GGA, the Open Quantum Materials Database).

Properties
Magnetic moment ... 1.992 μB/cell
Energy above the lowest structure with this stoichiometry ... 0.420 eV/atom

```
4
Lattice="0.0000 3.5871 3.5871 3.5871 0.0000 3.5871 3.5871 3.5871 0.0000" Properties=species:S:1:pos:R:3 pbc="T T T"
Mg 0.0000 0.0000 0.0000
Nb 1.7935 1.7935 1.7935
Sb 5.3806 5.3806 5.3806
Te 3.5871 3.5871 3.5871
```

# HoErSc2P2

A geometry-optimized HoErSc2P2 structure (PBE-GGA, the Open Quantum Materials Database).

Properties
Magnetic moment ... 0.818 μB/cell

```
6
Lattice="-2.0191 2.0191 7.5622 2.0191 -2.0191 7.5622 2.0191 2.0191 -7.5622" Properties=species:S:1:pos:R:3 pbc="T T T"
Ho 0.0000 0.0000 0.0000
Er 0.0000 0.0000 9.7294
Sc 2.0191 0.0000 4.8611
Sc 0.0000 2.0191 4.8611
P 0.0000 0.0000 2.9067
P 0.0000 0.0000 6.8207
```

# ZrB2Mo

A geometry-optimized ZrB2Mo structure (PBE-GGA, the Open Quantum Materials Database).

Properties
Magnetic moment ... 0.001 μB/cell

```
4
Lattice="0.0000 2.9568 2.9568 2.9568 0.0000 2.9568 2.9568 2.9568 0.0000" Properties=species:S:1:pos:R:3 pbc="T T T"
Zr 0.0000 0.0000 0.0000
B 2.9568 2.9568 2.9568
B 4.4352 4.4352 4.4352
Mo 1.4784 1.4784 1.4784
```

# BeMoPd

A geometry-optimized BeMoPd structure (PBE-GGA, the Open Quantum Materials Database).

Properties
Magnetic moment ... 0.000 μB/cell
Energy above the lowest structure with this stoichiometry ... 0.345 eV/atom

```
3
Lattice="0.0000 2.8877 2.8877 2.8877 0.0000 2.8877 2.8877 2.8877 0.0000" Properties=species:S:1:pos:R:3 pbc="T T T"
Be 0.0000 0.0000 0.0000
Mo 1.4438 1.4438 1.4438
Pd 2.8877 2.8877 2.8877
```

# RbScCuTe3

A geometry-optimized RbScCuTe3 structure (PBE-GGA, the Open Quantum Materials Database).

Properties
Magnetic moment ... 0.017 μB/cell

```
24
Lattice="17.2216 0.0000 0.0000 0.0000 4.1131 0.0000 0.0000 0.0000 10.9106" Properties=species:S:1:pos:R:3 pbc="T T T"
Rb 4.0381 1.0283 0.3767
Rb 4.5726 3.0848 5.8320
Rb 12.6489 1.0283 5.0786
Rb 13.1834 3.0848 10.5339
Sc 0.2888 1.0283 3.7027
Sc 8.3219 3.0848 9.1580
Sc 8.8996 1.0283 1.7525
Sc 16.9327 3.0848 7.2078
Cu 0.1833 3.0848 0.9966
Cu 8.4275 1.0283 6.4519
Cu 8.7941 3.0848 4.4587
Cu 17.0383 1.0283 9.9140
Te 1.4362 3.0848 9.5900
Te 1.6133 1.0283 6.2972
Te 2.1160 3.0848 2.7629
Te 6.4948 1.0283 8.2182
Te 6.9975 3.0848 0.8419
Te 7.1746 1.0283 4.1347
Te 10.0469 3.0848 6.7759
Te 10.2241 1.0283 10.0687
Te 10.7268 3.0848 2.6924
Te 15.1056 1.0283 8.1477
Te 15.6083 3.0848 4.6134
Te 15.7854 1.0283 1.3206
```

# HoCdPO

A geometry-optimized HoCdPO structure (PBE-GGA, the Open Quantum Materials Database).

Properties
Magnetic moment ... 0.001 μB/cell

```
8
Lattice="3.9527 0.0000 0.0000 0.0000 6.1371 0.0000 0.0000 0.0000 6.5880" Properties=species:S:1:pos:R:3 pbc="T T T"
Ho 0.0000 0.2145 0.0000
Ho 0.0000 5.9226 3.2940
Cd 1.9763 2.5096 2.4827
Cd 1.9763 3.6275 5.7767
P 1.9763 1.2800 4.8383
P 1.9763 4.8571 1.5443
O 0.0000 1.4362 1.8003
O 0.0000 4.7009 5.0944
```

# NiHg2

A geometry-optimized NiHg2 structure (PBE-GGA, the Open Quantum Materials Database).

Properties
Formation energy from the elements ... 613 meV/atom
Magnetic moment ... 0.212 μB/cell

```
6
Lattice="0.0000 5.7483 5.7483 5.7483 0.0000 5.7483 5.7483 5.7483 0.0000" Properties=species:S:1:pos:R:3 pbc="T T T"
Ni 1.4371 1.4371 1.4371
Ni 10.0596 10.0596 10.0596
Hg 0.0000 0.0000 0.0000
Hg 2.8742 2.8742 0.0000
Hg 2.8742 0.0000 2.8742
Hg 0.0000 2.8742 2.8742
```

# ScZnFeSb

A geometry-optimized ScZnFeSb structure (PBE-GGA, the Open Quantum Materials Database).

Properties
Magnetic moment ... 1.925 μB/cell
Energy above the lowest structure with this stoichiometry ... 0.142 eV/atom

```
4
Lattice="0.0000 3.3102 3.3102 3.3102 0.0000 3.3102 3.3102 3.3102 0.0000" Properties=species:S:1:pos:R:3 pbc="T T T"
Sc 0.0000 0.0000 0.0000
Zn 3.3102 3.3102 3.3102
Fe 4.9652 4.9652 4.9652
Sb 1.6551 1.6551 1.6551
```

# PrSmAg2Bi4

A geometry-optimized PrSmAg2Bi4 structure (PBE-GGA, the Open Quantum Materials Database).

Properties
Magnetic moment ... 0.006 μB/cell

```
8
Lattice="4.5772 0.0000 0.0000 0.0000 4.5772 0.0000 0.0000 0.0000 10.4819" Properties=species:S:1:pos:R:3 pbc="T T T"
Pr 0.0000 0.0000 0.0000
Sm 2.2886 2.2886 5.2732
Ag 0.0000 2.2886 2.6567
Ag 2.2886 0.0000 2.6567
Bi 0.0000 0.0000 4.5919
Bi 0.0000 2.2886 7.8498
Bi 2.2886 0.0000 7.8498
Bi 2.2886 2.2886 0.7144
```

# Rb2AgSbBr6

A geometry-optimized Rb2AgSbBr6 structure (PBE-GGA, the Open Quantum Materials Database).

```
10
Lattice="0.0000 5.6222 5.6222 5.6222 0.0000 5.6222 5.6222 5.6222 0.0000" Properties=species:S:1:pos:R:3 pbc="T T T"
Rb 2.8111 2.8111 2.8111
Rb 8.4333 8.4333 8.4333
Ag 0.0000 0.0000 0.0000
Sb 5.6222 5.6222 5.6222
Br 5.6222 5.6222 2.8142
Br 5.6222 2.8142 5.6222
Br 8.4302 5.6222 5.6222
Br 2.8142 5.6222 5.6222
Br 5.6222 8.4302 5.6222
Br 5.6222 5.6222 8.4302
```

# Ta2BPb

A geometry-optimized Ta2BPb structure (PBE-GGA, the Open Quantum Materials Database).

Properties
Magnetic moment ... 0.010 μB/cell

```
8
Lattice="3.3161 0.0000 0.0000 -1.6580 2.8718 0.0000 0.0000 0.0000 14.3260" Properties=species:S:1:pos:R:3 pbc="T T T"
Ta 0.0000 1.9145 1.1914
Ta 0.0000 1.9145 5.9716
Ta 1.6580 0.9573 8.3544
Ta 1.6580 0.9573 13.1346
B 0.0000 0.0000 0.0000
B 0.0000 0.0000 7.1630
Pb 0.0000 1.9145 10.7445
Pb 1.6580 0.9573 3.5815
```

# DyBiB4

A geometry-optimized DyBiB4 structure (PBE-GGA, the Open Quantum Materials Database).

Properties
Magnetic moment ... 0.004 μB/cell
Energy above the lowest structure with this stoichiometry ... 0.003 eV/atom

```
6
Lattice="3.2778 0.0000 0.0000 -1.6389 2.8386 0.0000 0.0000 0.0000 8.1188" Properties=species:S:1:pos:R:3 pbc="T T T"
Dy 0.0000 0.0000 0.0000
Bi 0.0000 0.0000 4.0594
B 0.0000 1.8924 1.8769
B 0.0000 1.8924 6.2419
B 1.6389 0.9462 1.8769
B 1.6389 0.9462 6.2419
```

# SrNiN

A geometry-optimized SrNiN structure (PBE-GGA, the Open Quantum Materials Database).

Properties
Magnetic moment ... 2.483 μB/cell

```
36
Lattice="9.0790 0.0000 0.0000 0.0000 13.2233 0.0000 0.0000 0.0000 5.2037" Properties=species:S:1:pos:R:3 pbc="T T T"
Sr 0.0995 3.3058 0.0324
Sr 1.5116 7.7672 2.7165
Sr 1.5116 12.0676 2.7165
Sr 3.0279 1.1556 0.1147
Sr 3.0279 5.4560 0.1147
Sr 4.4400 9.9174 2.6342
Sr 4.6390 3.3058 2.5695
Sr 6.0511 7.7672 5.0890
Sr 6.0511 12.0676 5.0890
Sr 7.5674 1.1556 2.4872
Sr 7.5674 5.4560 2.4872
Sr 8.9795 9.9174 5.1713
Ni 0.0000 0.0000 0.0000
Ni 0.0000 6.6116 0.0000
Ni 1.4765 2.1259 2.7834
Ni 1.4765 4.4857 2.7834
Ni 3.0630 8.7376 0.1816
Ni 3.0630 11.0973 0.1816
Ni 4.5395 0.0000 2.6018
Ni 4.5395 6.6116 2.6018
Ni 6.0160 2.1259 5.0221
Ni 6.0160 4.4857 5.0221
Ni 7.6025 8.7376 2.4203
Ni 7.6025 11.0973 2.4203
N 0.7372 1.0222 3.9748
N 0.7372 5.5894 3.9748
N 2.2288 3.3058 1.5892
N 2.3107 9.9174 4.1910
N 3.8023 7.6338 1.3730
N 3.8023 12.2011 1.3730
N 5.2767 1.0222 3.8307
N 5.2767 5.5894 3.8307
N 6.7683 3.3058 1.0127
N 6.8502 9.9174 3.6145
N 8.3418 7.6338 1.2289
N 8.3418 12.2011 1.2289
```

# RbPtO3

A geometry-optimized RbPtO3 structure (PBE-GGA, the Open Quantum Materials Database).

Properties
Magnetic moment ... 1.769 μB/cell

```
10
Lattice="2.8789 1.6621 4.5935 -2.8789 1.6621 4.5935 0.0000 -3.3243 4.5935" Properties=species:S:1:pos:R:3 pbc="T T T"
Rb 0.0000 0.0000 3.4451
Rb 0.0000 0.0000 10.3353
Pt 0.0000 0.0000 0.0000
Pt 0.0000 0.0000 6.8902
O -1.5791 0.5891 5.7418
O -1.2998 -1.0730 8.0386
O 0.2794 -1.6621 5.7418
O -0.2794 1.6621 8.0386
O 1.2998 1.0730 5.7419
O 1.5791 -0.5891 8.0386
```

| no. | mass density (Mg/m³) | DFT total energy (eV per formula unit) |
| --- | --- | --- |
| 1 | 8.43 | -34.61 |
| 2 | 9.76 | -12.84 |
| 3 | 4.48 | -30.22 |
| 4 | 4.74 | -22.07 |
| 5 | 5.25 | -27.21 |
| 6 | 7.22 | -31.61 |
| 7 | 6.59 | -17.14 |
| 8 | 6.52 | -38.84 |
| 9 | 6.71 | -28.09 |
| 10 | 7.29 | -17.52 |
| 11 | 4.96 | -25.58 |
| 12 | 6.74 | -21.78 |
| 13 | 4.02 | -4.32 |
| 14 | 6.59 | -19.72 |
| 15 | 10.15 | -35.54 |
| 16 | 4.11 | -29.20 |
| 17 | 14.12 | -34.94 |
| 18 | 9.12 | -34.79 |
| 19 | 5.11 | -17.23 |
| 20 | 8.27 | -24.28 |